4
Lattice="3.0576 0.0000 0.0000 0.0000 3.0576 0.0000 0.0000 0.0000 9.2452" Properties=species:S:1:pos:R:3 comment="PBE HfPa2Cu, optimized geometry" formation_enthalpy_0k_ev_per_atom=0.115 total_magnetization_mub_per_cell=0.00 pbc="T T T"
Hf 0.0000 0.0000 0.0000
Pa 1.5288 1.5288 2.5147
Pa 1.5288 1.5288 6.7305
Cu 0.0000 0.0000 4.6226